First-principles (PBE-GGA) data for crystalline KPRuPt at its relaxed geometry, as listed in Alexandria via LeMat-Bulk.

E_form   -316.7 meV/atom
V   22.62 Å³ per atom
Size of the total moment   0.00 μB/f.u.

The structure in CIF format:
```
data_KPRuPt
_space_group_name_H-M_alt 'P 4/n m m'
_space_group_IT_number 129
_cell_length_a 3.825
_cell_length_b 3.825
_cell_length_c 12.365
_cell_angle_alpha 90.00
_cell_angle_beta 90.00
_cell_angle_gamma 90.00
loop_
_space_group_symop_operation_xyz
'x,y,z'
'-x,-y,-z'
'-y+1/2,x,z'
'y+1/2,-x,-z'
'-x+1/2,-y+1/2,z'
'x+1/2,y+1/2,-z'
'y,-x+1/2,z'
'-y,x+1/2,-z'
'x+1/2,-y,-z'
'-x+1/2,y,z'
'-y,-x,-z'
'y,x,z'
'-x,y+1/2,-z'
'x,-y+1/2,z'
'y+1/2,x+1/2,-z'
'-y+1/2,-x+1/2,z'
loop_
_atom_site_label
_atom_site_fract_x
_atom_site_fract_y
_atom_site_fract_z
_atom_site_occupancy
K1 0.250 0.250 0.226 1
P1 0.250 0.250 0.608 1
Ru1 0.250 0.750 0.500 1
Pt1 0.250 0.750 0.000 1
```


First-principles (PBE-GGA) data for crystalline KP2PtS8 at its relaxed geometry, as listed in Alexandria via LeMat-Bulk.

E_form (uncorrected)   -0.262 eV per atom
V   23.53 Å³ per atom
Size of the total moment   0.33 μB/f.u.

The structure in CIF format:
```
data_KP2PtS8
_space_group_name_H-M_alt 'P -3'
_space_group_IT_number 147
_space_group_name_Hall '-P 3'
_cell_length_a 5.8023
_cell_length_b 5.8023
_cell_length_c 9.6837
_cell_angle_alpha 90.00
_cell_angle_beta 90.00
_cell_angle_gamma 120.00
loop_
_atom_site_label
_atom_site_fract_x
_atom_site_fract_y
_atom_site_fract_z
_atom_site_occupancy
K1 0.0000 0.0000 0.0000 1
P1 0.3333 0.6667 0.7097 1
Pt1 0.0000 0.0000 0.5000 1
S1 0.0170 0.6802 0.3476 1
S2 0.3333 0.6667 0.9160 1
```


First-principles (PBE-GGA) data for crystalline KP2PtSe8 at its relaxed geometry, as listed in Alexandria via LeMat-Bulk.

E_form (uncorrected)   -0.205 eV per atom
V   27.91 Å³ per atom
Size of the total moment   0.00 μB/f.u.

The structure in CIF format:
```
data_KP2PtSe8
_space_group_name_H-M_alt 'R -3'
_space_group_IT_number 148
_space_group_name_Hall '-R 3'
_cell_length_a 5.9547
_cell_length_b 5.9547
_cell_length_c 32.7216
_cell_angle_alpha 90.00
_cell_angle_beta 90.00
_cell_angle_gamma 120.00
loop_
_atom_site_label
_atom_site_fract_x
_atom_site_fract_y
_atom_site_fract_z
_atom_site_occupancy
K1 0.0000 0.0000 0.0000 1
P1 0.0000 0.0000 0.2373 1
Pt1 0.0000 0.0000 0.5000 1
Se1 0.0000 0.0000 0.3033 1
Se2 0.0224 0.6428 0.7850 1
```


First-principles (PBE-GGA) data for crystalline KSmP2Pt4 at its relaxed geometry, as listed in Alexandria via LeMat-Bulk.

E_form   -725.8 meV/atom
V   22.07 Å³ per atom
Size of the total moment   0.00 μB/f.u.

The structure in CIF format:
```
data_KSmP2Pt4
_space_group_name_H-M_alt 'P 4/m m m'
_space_group_IT_number 123
_space_group_name_Hall '-P 4 2'
_cell_length_a 4.047
_cell_length_b 4.047
_cell_length_c 10.780
_cell_angle_alpha 90.00
_cell_angle_beta 90.00
_cell_angle_gamma 90.00
loop_
_atom_site_label
_atom_site_fract_x
_atom_site_fract_y
_atom_site_fract_z
_atom_site_occupancy
K1 0.000 0.000 0.000 1
Sm1 0.000 0.000 0.500 1
P1 0.500 0.500 0.183 1
Pt1 0.000 0.500 0.294 1
```


First-principles (PBE-GGA) data for crystalline KSnP2Pt4 at its relaxed geometry, as listed in Alexandria via LeMat-Bulk.

E_form   -532.7 meV/atom
V   20.96 Å³ per atom
Size of the total moment   0.00 μB/f.u.

The structure in CIF format:
```
data_KSnP2Pt4
_space_group_name_H-M_alt 'P 4/m m m'
_space_group_IT_number 123
_space_group_name_Hall '-P 4 2'
_cell_length_a 3.992
_cell_length_b 3.992
_cell_length_c 10.522
_cell_angle_alpha 90.00
_cell_angle_beta 90.00
_cell_angle_gamma 90.00
loop_
_atom_site_label
_atom_site_fract_x
_atom_site_fract_y
_atom_site_fract_z
_atom_site_occupancy
K1 0.000 0.000 0.000 1
Sn1 0.000 0.000 0.500 1
P1 0.500 0.500 0.188 1
Pt1 0.000 0.500 0.308 1
```


First-principles (PBE-GGA) data for crystalline KTa2PPt at its relaxed geometry, as listed in Alexandria via LeMat-Bulk.

E_form   2819.9 meV/atom
V   20.17 Å³ per atom
Size of the total moment   0.00 μB/f.u.

The structure in CIF format:
```
data_KTa2PPt
_space_group_name_H-M_alt 'P 4/m m m'
_space_group_IT_number 123
_space_group_name_Hall '-P 4 2'
_cell_length_a 4.577
_cell_length_b 4.577
_cell_length_c 4.813
_cell_angle_alpha 90.00
_cell_angle_beta 90.00
_cell_angle_gamma 90.00
loop_
_atom_site_label
_atom_site_fract_x
_atom_site_fract_y
_atom_site_fract_z
_atom_site_occupancy
K1 0.000 0.000 0.000 1
Ta1 0.000 0.500 0.000 1
P1 0.000 0.000 0.500 1
Pt1 0.500 0.500 0.500 1
```


First-principles (PBE-GGA) data for crystalline KTcPPt2 at its relaxed geometry, as listed in Alexandria via LeMat-Bulk.

E_form   1452.3 meV/atom
V   27.56 Å³ per atom
Size of the total moment   2.78 μB/f.u.

The structure in CIF format:
```
data_KTcPPt2
_space_group_name_H-M_alt 'P 4/m m m'
_space_group_IT_number 123
_space_group_name_Hall '-P 4 2'
_cell_length_a 4.776
_cell_length_b 4.776
_cell_length_c 6.042
_cell_angle_alpha 90.00
_cell_angle_beta 90.00
_cell_angle_gamma 90.00
loop_
_atom_site_label
_atom_site_fract_x
_atom_site_fract_y
_atom_site_fract_z
_atom_site_occupancy
K1 0.000 0.000 0.000 1
Tc1 0.000 0.000 0.500 1
P1 0.500 0.500 0.000 1
Pt1 0.000 0.500 0.500 1
```


First-principles (PBE-GGA) data for crystalline KThP2Pt4 at its relaxed geometry, as listed in Alexandria via LeMat-Bulk.

E_form   -732.7 meV/atom
V   23.28 Å³ per atom
Size of the total moment   0.00 μB/f.u.

The structure in CIF format:
```
data_KThP2Pt4
_space_group_name_H-M_alt 'P 4/m m m'
_space_group_IT_number 123
_space_group_name_Hall '-P 4 2'
_cell_length_a 4.291
_cell_length_b 4.291
_cell_length_c 10.114
_cell_angle_alpha 90.00
_cell_angle_beta 90.00
_cell_angle_gamma 90.00
loop_
_atom_site_label
_atom_site_fract_x
_atom_site_fract_y
_atom_site_fract_z
_atom_site_occupancy
K1 0.000 0.000 0.000 1
Th1 0.000 0.000 0.500 1
P1 0.500 0.500 0.198 1
Pt1 0.000 0.500 0.296 1
```


First-principles (PBE-GGA) data for crystalline KTl2P2Pt7 at its relaxed geometry, as listed in Alexandria via LeMat-Bulk.

E_form   -131.1 meV/atom
V   20.11 Å³ per atom
Size of the total moment   0.00 μB/f.u.

The structure in CIF format:
```
data_KTl2P2Pt7
_space_group_name_H-M_alt 'I 4/m m m'
_space_group_IT_number 139
_space_group_name_Hall '-I 4 2'
_cell_length_a 4.036
_cell_length_b 4.036
_cell_length_c 29.625
_cell_angle_alpha 90.00
_cell_angle_beta 90.00
_cell_angle_gamma 90.00
loop_
_atom_site_label
_atom_site_fract_x
_atom_site_fract_y
_atom_site_fract_z
_atom_site_occupancy
K1 0.000 0.000 0.000 1
Tl1 0.000 0.000 0.208 1
P1 0.000 0.000 0.383 1
Pt1 0.000 0.000 0.307 1
Pt2 0.000 0.000 0.500 1
Pt3 0.000 0.500 0.078 1
```


First-principles (PBE-GGA) data for crystalline KTmP2Pt4 at its relaxed geometry, as listed in Alexandria via LeMat-Bulk.

E_form   -767.8 meV/atom
V   21.44 Å³ per atom
Size of the total moment   0.00 μB/f.u.

The structure in CIF format:
```
data_KTmP2Pt4
_space_group_name_H-M_alt 'P 4/m m m'
_space_group_IT_number 123
_space_group_name_Hall '-P 4 2'
_cell_length_a 4.029
_cell_length_b 4.029
_cell_length_c 10.566
_cell_angle_alpha 90.00
_cell_angle_beta 90.00
_cell_angle_gamma 90.00
loop_
_atom_site_label
_atom_site_fract_x
_atom_site_fract_y
_atom_site_fract_z
_atom_site_occupancy
K1 0.000 0.000 0.000 1
Tm1 0.000 0.000 0.500 1
P1 0.500 0.500 0.187 1
Pt1 0.000 0.500 0.301 1
```


First-principles (PBE-GGA) data for crystalline KP2PtW at its relaxed geometry, as listed in Alexandria via LeMat-Bulk.

E_form   2848.5 meV/atom
V   21.74 Å³ per atom
Size of the total moment   0.00 μB/f.u.

The structure in CIF format:
```
data_KP2PtW
_space_group_name_H-M_alt 'P 4/m m m'
_space_group_IT_number 123
_space_group_name_Hall '-P 4 2'
_cell_length_a 4.769
_cell_length_b 4.769
_cell_length_c 4.779
_cell_angle_alpha 90.00
_cell_angle_beta 90.00
_cell_angle_gamma 90.00
loop_
_atom_site_label
_atom_site_fract_x
_atom_site_fract_y
_atom_site_fract_z
_atom_site_occupancy
K1 0.000 0.000 0.000 1
P1 0.000 0.500 0.000 1
Pt1 0.000 0.000 0.500 1
W1 0.500 0.500 0.500 1
```


First-principles (PBE-GGA) data for crystalline KZnP2Pt4 at its relaxed geometry, as listed in Alexandria via LeMat-Bulk.

E_form   -506.9 meV/atom
V   19.77 Å³ per atom
Size of the total moment   0.00 μB/f.u.

The structure in CIF format:
```
data_KZnP2Pt4
_space_group_name_H-M_alt 'P 4/m m m'
_space_group_IT_number 123
_space_group_name_Hall '-P 4 2'
_cell_length_a 4.019
_cell_length_b 4.019
_cell_length_c 9.790
_cell_angle_alpha 90.00
_cell_angle_beta 90.00
_cell_angle_gamma 90.00
loop_
_atom_site_label
_atom_site_fract_x
_atom_site_fract_y
_atom_site_fract_z
_atom_site_occupancy
K1 0.000 0.000 0.000 1
Zn1 0.000 0.000 0.500 1
P1 0.500 0.500 0.202 1
Pt1 0.000 0.500 0.324 1
```